Co2CBrO | GGA+U | relaxed

Output
DFT total energy	-3.003	eV/atom
size of the total moment	3.43	μB/f.u.

Cell lengths 4.684, 4.684, 3.914 Å; angles 90.00, 90.00, 90.00 degrees
Space group P4/mmm (No. 123)
Symmetry-distinct sites (fractional):
Co 0.000 0.500 0.000
C 0.000 0.000 0.500
Br 0.500 0.500 0.000
O 0.500 0.500 0.500